A plane-wave DFT calculation with PBE was carried out for crystalline ScCr2Mo at its relaxed geometry.

Summary:
For the total energy, the calculation gives -8.67 eV/atom. The total moment is 0.00 μB/cell. The calculation puts the formation energy at 166 kJ/mol of formula units. The calculation puts the polymorph energy (0 for the lowest one) at 238 meV per atom. Its space group is R3m (160).

a b c (Å): 8.7423 8.7423 8.7423
angles (deg): 18.86 18.86 18.86
With the nearest neighbours (Å) after each atom.
Fractional positions:
Sc: 0.0000 0.0000 0.0000  3 Cr 2.86, 6 Sc 2.86, 3 Mo 3.00
Cr: 0.2429 0.2429 0.2429  3 Cr 2.33
Cr: 0.5123 0.5123 0.5123  3 Cr 2.33
Mo: 0.7637 0.7637 0.7637  3 Cr 2.68, 6 Mo 2.86, 3 Sc 3.00